[1]
Entry from Alexandria: an optimized crystal structure of La2CrAu (GGA-PBE).

Results
mass density: 8.320 g cm⁻³
symmetry: Imm2, No. 44
DFT formation energy: -0.0949 eV/atom
VASP energy: -0.4251 Ry/atom

Cell: 6.366 6.366 4.999 Å, 66.87 66.87 34.71°
Each line ends with the local moment (μB).
Atoms (fractional coordinates):
Cr1 0.788 0.788 0.712  -3.53
Au1 0.466 0.466 0.534  -0.03
La1 0.230 0.230 0.271  0.06
La2 0.017 0.017 0.983  0.09


[2]
Entry from Alexandria: an optimized crystal structure of LaCr4Au (GGA-PBE).

Results
mass density: 9.446 g cm⁻³
symmetry: F-43m, No. 216
DFT formation energy: 0.5246 eV/atom
VASP energy: -0.5335 Ry/atom

Cell: 5.132 5.132 5.132 Å, 60.00 60.00 60.00°
Atoms (fractional coordinates):
La1 0.750 0.750 0.750
Cr1 0.373 0.373 0.373
Cr2 0.373 0.881 0.373
Cr3 0.881 0.373 0.373
Cr4 0.373 0.373 0.881
Au1 0.000 0.000 0.000


[3]
Entry from Alexandria: an optimized crystal structure of La2CrAu (GGA-PBE).

Results
mass density: 8.072 g cm⁻³
symmetry: I-42d, No. 122
DFT formation energy: 0.1825 eV/atom
VASP energy: -0.4047 Ry/atom

Cell: 8.266 8.266 6.650 Å, 51.58 51.58 90.00°
Each line ends with the local moment (μB).
Atoms (fractional coordinates):
La1 0.875 0.873 0.750  0.22
La2 0.623 0.125 0.250  0.23
La3 0.127 0.625 0.250  0.23
La4 0.375 0.377 0.750  0.23
Au1 0.750 0.250 0.500  0.04
Au2 0.000 0.000 0.000  0.04
Cr1 0.500 0.500 0.000  -3.47
Cr2 0.250 0.750 0.500  -3.47


[4]
Entry from Alexandria: an optimized crystal structure of LaCr3Au (GGA-PBE).

Results
mass density: 6.451 g cm⁻³
symmetry: Pm-3m, No. 221
DFT formation energy: 0.8843 eV/atom
VASP energy: -0.4800 Ry/atom

Cell: 5.021 5.021 5.021 Å, 90.00 90.00 90.00°
Each line ends with the local moment (μB).
Atoms (fractional coordinates):
Cr1 0.000 0.500 0.000  -3.70
Cr2 0.500 0.000 0.000  -3.40
Cr3 0.000 0.000 0.500  -3.79
Au1 0.000 0.000 0.000  -0.22
La1 0.500 0.500 0.500  0.01


[5]
Entry from Alexandria: an optimized crystal structure of La2CrAu (GGA-PBE).

Results
mass density: 8.818 g cm⁻³
symmetry: Fm-3m, No. 225
DFT formation energy: 0.1685 eV/atom
VASP energy: -0.4057 Ry/atom

Cell: 5.196 5.196 5.196 Å, 60.00 60.00 60.00°
Atoms (fractional coordinates):
Au1 0.500 0.500 0.500
La1 0.250 0.250 0.250
La2 0.750 0.750 0.750
Cr1 0.000 0.000 0.000


[6]
Entry from Alexandria: an optimized crystal structure of LaCr2Au2 (GGA-PBE).

Results
mass density: 9.531 g cm⁻³
symmetry: I4/mmm, No. 139
DFT formation energy: -0.0267 eV/atom
VASP energy: -0.4537 Ry/atom

Cell: 4.190 4.190 6.979 Å, 72.53 72.53 90.00°
Each line ends with the local moment (μB).
Atoms (fractional coordinates):
La1 0.000 0.000 0.000  0.09
Cr1 0.250 0.750 0.500  3.66
Cr2 0.750 0.250 0.500  3.66
Au1 0.389 0.389 0.221  0.12
Au2 0.611 0.611 0.779  0.12


[7]
Entry from Alexandria: an optimized crystal structure of La2CrAu (GGA-PBE).

Results
mass density: 8.166 g cm⁻³
symmetry: P4/mmm, No. 123
DFT formation energy: -0.1463 eV/atom
VASP energy: -0.4289 Ry/atom

Cell: 3.811 3.809 8.306 Å, 62.68 90.00 90.00°
Each line ends with the local moment (μB).
Atoms (fractional coordinates):
La1 0.000 0.001 0.999  -0.10
La2 0.000 0.499 0.501  -0.10
Cr1 0.500 0.750 0.750  3.50
Au1 0.500 0.250 0.250  0.00


[8]
Entry from Alexandria: an optimized crystal structure of LaCr2Au2 (GGA-PBE).

Results
mass density: 11.667 g cm⁻³
symmetry: P4/mbm, No. 127
DFT formation energy: 0.5084 eV/atom
VASP energy: -0.4143 Ry/atom

Cell: 8.066 8.066 2.786 Å, 90.00 90.00 90.00°
Each line ends with the local moment (μB).
Atoms (fractional coordinates):
Au1 0.875 0.625 0.000  0.00
Au2 0.375 0.875 0.000  0.00
Au3 0.625 0.125 0.000  0.00
Au4 0.125 0.375 0.000  0.00
Cr1 0.330 0.170 0.500  0.03
Cr2 0.170 0.670 0.500  0.03
Cr3 0.670 0.830 0.500  0.03
Cr4 0.830 0.330 0.500  0.03
La1 0.500 0.500 0.000  -0.10
La2 0.000 0.000 0.000  -0.10


[9]
Entry from Alexandria: an optimized crystal structure of LaCrAu (GGA-PBE).

Results
mass density: 8.832 g cm⁻³
symmetry: P-6m2, No. 187
DFT formation energy: -0.1099 eV/atom
VASP energy: -0.4449 Ry/atom

Cell: 4.685 4.685 3.837 Å, 90.00 90.00 120.00°
Each line ends with the local moment (μB).
Atoms (fractional coordinates):
La1 0.333 0.667 0.667  -0.07
Au1 0.000 0.000 0.167  0.04
Cr1 0.667 0.333 0.166  3.51


[10]
Entry from Alexandria: an optimized crystal structure of LaCr3Au (GGA-PBE).

Results
mass density: 9.221 g cm⁻³
symmetry: Pm-3m, No. 221
DFT formation energy: 1.9145 eV/atom
VASP energy: -0.4043 Ry/atom

Cell: 4.458 4.458 4.458 Å, 90.00 90.00 90.00°
Atoms (fractional coordinates):
Cr1 0.000 0.500 0.000
Cr2 0.000 0.000 0.500
Cr3 0.500 0.000 0.000
Au1 0.500 0.500 0.500
La1 0.000 0.000 0.000


[11]
Entry from Alexandria: an optimized crystal structure of La2CrAu (GGA-PBE).

Results
mass density: 7.974 g cm⁻³
symmetry: Pm, No. 6
DFT formation energy: -0.1593 eV/atom
VASP energy: -0.4298 Ry/atom

Cell: 4.850 3.966 6.032 Å, 70.99 90.00 90.00°
Each line ends with the local moment (μB).
Atoms (fractional coordinates):
Au1 0.000 0.696 0.483  0.02
Cr1 0.500 0.553 0.771  3.45
La1 0.000 0.982 0.913  -0.04
La2 0.500 0.270 0.333  -0.08


[12]
Entry from Alexandria: an optimized crystal structure of La2CrAu (GGA-PBE).

Results
mass density: 9.090 g cm⁻³
symmetry: F-43m, No. 216
DFT formation energy: -0.0546 eV/atom
VASP energy: -0.4221 Ry/atom

Cell: 5.144 5.144 5.144 Å, 60.00 60.00 60.00°
Each line ends with the local moment (μB).
Atoms (fractional coordinates):
La1 0.250 0.250 0.250  0.01
La2 0.000 0.000 0.000  0.20
Cr1 0.750 0.750 0.750  3.73
Au1 0.500 0.500 0.500  0.04